YGaTe2 after structural relaxation, computed with GGA-PBE.

Cell: 8.421 8.421 8.421 Å, 129.27 129.27 74.58°
Positions (direct):
Y 0.000 0.000 0.000
Y 0.750 0.250 0.500
Ga 0.250 0.750 0.500
Ga 0.500 0.500 0.000
Te 0.102 0.625 0.977
Te 0.375 0.352 0.477
Te 0.648 0.125 0.023
Te 0.875 0.898 0.523

Calculated values
calculated density	3.9	g/cm³
formation energy without anion corrections	-0.67	eV/atom
V	43.6	A^3/atom

***

Y3GaTe2 after structural relaxation, computed with GGA-PBE.

Cell: 7.725 7.725 4.522 Å, 90.00 90.00 133.96°
Positions (direct):
Y 0.000 0.000 0.000
Y 0.372 0.628 0.500
Y 0.628 0.372 0.500
Ga 0.500 0.500 0.000
Te 0.152 0.848 0.500
Te 0.848 0.152 0.500

Calculated values
polymorph energy (0 for the lowest one)	0.1139	eV/atom
calculated density	5.1	g/cm³
formation energy without anion corrections	-1.02	eV/atom
V	32.4	A^3/atom

***

Y4GaTe2 after structural relaxation, computed with GGA-PBE.

Cell: 7.868 7.868 7.168 Å, 115.99 115.99 31.71°
Positions (direct):
Y 0.107 0.107 0.292
Y 0.391 0.391 0.243
Y 0.609 0.609 0.757
Y 0.893 0.893 0.708
Ga 0.500 0.500 0.000
Te 0.256 0.256 0.762
Te 0.744 0.744 0.238

Calculated values
polymorph energy (0 for the lowest one)	0.0196	eV/atom
calculated density	5.4	g/cm³
formation energy without anion corrections	-0.86	eV/atom
V	29.7	A^3/atom

***

Y5GaTe2 after structural relaxation, computed with GGA-PBE.

Cell: 8.107 12.103 4.478 Å, 90.00 90.00 90.00°
Positions (direct):
Y 0.000 0.000 0.000
Y 0.146 0.289 0.000
Y 0.198 0.565 0.500
Y 0.302 0.065 0.500
Y 0.354 0.789 0.000
Y 0.500 0.500 0.000
Y 0.646 0.211 0.000
Y 0.698 0.935 0.500
Y 0.802 0.435 0.500
Y 0.854 0.711 0.000
Ga 0.000 0.500 0.000
Ga 0.500 0.000 0.000
Te 0.079 0.824 0.500
Te 0.421 0.324 0.500
Te 0.579 0.676 0.500
Te 0.921 0.176 0.500

Calculated values
calculated density	5.8	g/cm³
formation energy without anion corrections	-0.81	eV/atom
V	27.5	A^3/atom

***

Y2Ga2Te after structural relaxation, computed with GGA-PBE.

Cell: 7.991 7.991 4.204 Å, 90.00 90.00 90.00°
Positions (direct):
Y 0.176 0.324 0.000
Y 0.324 0.824 0.000
Y 0.676 0.176 0.000
Y 0.824 0.676 0.000
Ga 0.115 0.615 0.500
Ga 0.385 0.115 0.500
Ga 0.615 0.885 0.500
Ga 0.885 0.385 0.500
Te 0.000 0.000 0.000
Te 0.500 0.500 0.000

Calculated values
polymorph energy (0 for the lowest one)	0.0298	eV/atom
calculated density	5.5	g/cm³
formation energy without anion corrections	-0.64	eV/atom
V	26.8	A^3/atom

***

Y2GaTe after structural relaxation, computed with GGA-PBE.

Cell: 11.909 11.909 4.166 Å, 90.00 90.00 158.83°
Positions (direct):
Y 0.062 0.938 0.750
Y 0.334 0.666 0.750
Y 0.666 0.334 0.250
Y 0.938 0.062 0.250
Ga 0.462 0.538 0.750
Ga 0.538 0.462 0.250
Te 0.195 0.805 0.750
Te 0.805 0.195 0.250

Calculated values
polymorph energy (0 for the lowest one)	0.0000	eV/atom
calculated density	5.8	g/cm³
formation energy without anion corrections	-1.04	eV/atom
V	26.7	A^3/atom

***

Y2Ga2Te after structural relaxation, computed with GGA-PBE.

Cell: 7.695 7.695 4.099 Å, 90.00 90.00 90.00°
Positions (direct):
Y 0.178 0.322 0.000
Y 0.322 0.822 0.000
Y 0.678 0.178 0.000
Y 0.822 0.678 0.000
Ga 0.117 0.617 0.500
Ga 0.383 0.117 0.500
Ga 0.617 0.883 0.500
Ga 0.883 0.383 0.500
Te 0.000 0.000 0.500
Te 0.500 0.500 0.500

Calculated values
polymorph energy (0 for the lowest one)	0.0000	eV/atom
calculated density	6.1	g/cm³
formation energy without anion corrections	-0.67	eV/atom
V	24.3	A^3/atom

***

YGaTe after structural relaxation, computed with GGA-PBE.

Cell: 11.795 11.795 11.795 Å, 20.99 20.99 20.99°
Positions (direct):
Y 0.065 0.065 0.065
Y 0.935 0.935 0.935
Ga 0.338 0.338 0.338
Ga 0.662 0.662 0.662
Te 0.221 0.221 0.221
Te 0.779 0.779 0.779

Calculated values
calculated density	5.2	g/cm³
formation energy without anion corrections	-0.85	eV/atom
V	30.7	A^3/atom

***

Y4Ga2Te after structural relaxation, computed with GGA-PBE.

Cell: 7.831 7.831 7.831 Å, 109.21 109.21 110.00°
Positions (direct):
Y 0.111 0.506 0.748
Y 0.113 0.008 0.752
Y 0.256 0.361 0.248
Y 0.494 0.242 0.605
Y 0.637 0.889 0.395
Y 0.639 0.887 0.895
Y 0.758 0.363 0.252
Y 0.992 0.744 0.105
Ga 0.008 0.125 0.383
Ga 0.375 0.992 0.117
Ga 0.742 0.625 0.617
Ga 0.875 0.258 0.883
Te 0.250 0.750 0.500
Te 0.500 0.500 0.000

Calculated values
calculated density	5.6	g/cm³
formation energy without anion corrections	-0.76	eV/atom
V	26.4	A^3/atom

***

Y2GaTe after structural relaxation, computed with GGA-PBE.

Cell: 8.213 8.213 8.213 Å, 28.40 28.40 28.40°
Positions (direct):
Y 0.000 0.000 0.000
Y 0.177 0.177 0.177
Ga 0.590 0.590 0.590
Te 0.421 0.421 0.421

Calculated values
polymorph energy (0 for the lowest one)	0.1284	eV/atom
calculated density	5.6	g/cm³
formation energy without anion corrections	-0.91	eV/atom
V	27.7	A^3/atom

***

Please write out number 3 again, unchanged.
Y4GaTe2 after structural relaxation, computed with GGA-PBE.

Cell: 7.868 7.868 7.168 Å, 115.99 115.99 31.71°
Positions (direct):
Y 0.107 0.107 0.292
Y 0.391 0.391 0.243
Y 0.609 0.609 0.757
Y 0.893 0.893 0.708
Ga 0.500 0.500 0.000
Te 0.256 0.256 0.762
Te 0.744 0.744 0.238

Calculated values
polymorph energy (0 for the lowest one)	0.0196	eV/atom
calculated density	5.4	g/cm³
formation energy without anion corrections	-0.86	eV/atom
V	29.7	A^3/atom

***

> What is the formation energy without anion corrections in the seventh record?

-0.67 eV/atom